Record 1
MgNb2TlTc: relaxed, PBE.

## Properties
E_form in eV per atom: 1.60
Spin magnetization in μB/cell: 0.0
E in eV per atom: -5.293

abc: 4.800 4.538 4.800
angles: 90.00 90.00 90.00
Positions (direct):
1 Mg 0.000 0.000 0.000
2 Tl 0.500 0.500 0.500
3 Tc 0.000 0.500 0.000
4 Nb 0.000 0.000 0.500
5 Nb 0.500 0.000 0.000

=====

Record 2
BIr3F: relaxed, PBE.

## Properties
Spin magnetization in μB/cell: 1.1
Formation energy (no corrections) in eV per atom: 0.568
E in eV per atom: -6.458

abc: 4.103 4.103 4.103
angles: 90.00 90.00 90.00
Positions (direct):
1 B 0.000 0.000 0.000
2 Ir 0.000 0.500 0.000
3 Ir 0.000 0.000 0.500
4 Ir 0.500 0.000 0.000
5 F 0.500 0.500 0.500

=====

Record 3
CaYCd6: relaxed, PBE.

## Properties
E_form in eV per atom: -0.28
Spin magnetization in μB/cell: 0.0
E in eV per atom: -2.025

abc: 4.991 6.575 6.575
angles: 115.75 90.00 90.00
Positions (direct):
1 Ca 0.500 0.394 0.606
2 Y 0.000 0.105 0.895
3 Cd 0.000 0.060 0.381
4 Cd 0.000 0.619 0.940
5 Cd 0.000 0.581 0.419
6 Cd 0.500 0.436 0.118
7 Cd 0.500 0.882 0.564
8 Cd 0.500 0.923 0.077

=====

Please write out number 1 again, unchanged.
MgNb2TlTc: relaxed, PBE.

## Properties
E_form in eV per atom: 1.60
Spin magnetization in μB/cell: 0.0
E in eV per atom: -5.293

abc: 4.800 4.538 4.800
angles: 90.00 90.00 90.00
Positions (direct):
1 Mg 0.000 0.000 0.000
2 Tl 0.500 0.500 0.500
3 Tc 0.000 0.500 0.000
4 Nb 0.000 0.000 0.500
5 Nb 0.500 0.000 0.000

=====

Number 2 is which compound? BIr3F